Here is crystalline TePbSeN2 at its relaxed geometry from Alexandria via LeMat-Bulk. Energies are from PBEsol.

Cell: 4.217 4.217 5.424 Å, 90.00 90.00 90.00°
Last column: magnetic moment on the atom in μB.
Atoms (fractional coordinates):
Pb 0.500 0.500 0.500  -0.01
Te 0.000 0.000 0.500  0.07
Se 0.000 0.000 0.000  -0.02
N 0.000 0.500 0.000  0.66
N 0.500 0.000 0.000  0.66

Spin magnetization in μB/f.u.: 1.89
Uncorrected energy in eV/f.u.: -21.340
ρ in kg/m³: 7606
SG: P4/mmm
Formation energy without anion corrections in eV/f.u.: 7.09

Here is crystalline Rb2SiF6 at its relaxed geometry from Alexandria via LeMat-Bulk. Energies are from PBEsol.

Cell: 5.921 5.921 5.921 Å, 60.00 60.00 60.00°
Atoms (fractional coordinates):
Si 0.000 0.000 0.000
Rb 0.750 0.750 0.750
Rb 0.250 0.250 0.250
F 0.204 0.204 0.796
F 0.796 0.796 0.204
F 0.796 0.204 0.796
F 0.204 0.796 0.204
F 0.796 0.204 0.204
F 0.204 0.796 0.796

Spin magnetization in μB/f.u.: 0.03
Uncorrected energy in eV/f.u.: -48.154
ρ in kg/m³: 3541
SG: Fm-3m
Formation energy without anion corrections in eV/f.u.: -28.79

Here is crystalline NiAs2SBr at its relaxed geometry from Alexandria via LeMat-Bulk. Energies are from PBEsol.

Cell: 4.729 4.729 4.799 Å, 90.00 90.00 90.00°
Last column: magnetic moment on the atom in μB.
Atoms (fractional coordinates):
Ni 0.500 0.500 0.500  0.57
As 0.000 0.500 0.000  0.02
As 0.500 0.000 0.000  0.02
S 0.000 0.000 0.000  -0.01
Br 0.000 0.000 0.500  0.03

Spin magnetization in μB/f.u.: 0.69
Uncorrected energy in eV/f.u.: -17.034
ρ in kg/m³: 4958
SG: P4/mmm
Formation energy without anion corrections in eV/f.u.: 5.59

Here is crystalline MgCdPb2 at its relaxed geometry from Alexandria via LeMat-Bulk. Energies are from PBEsol.

Cell: 5.266 5.266 5.266 Å, 60.00 60.00 60.00°
Atoms (fractional coordinates):
Pb 0.250 0.250 0.250
Pb 0.750 0.750 0.750
Mg 0.500 0.500 0.500
Cd 0.000 0.000 0.000

Spin magnetization in μB/f.u.: 0.00
Uncorrected energy in eV/f.u.: -10.830
ρ in kg/m³: 8861
SG: Fm-3m
ΔE_f in kJ/mol of atoms: 2

Here is crystalline TbAsS at its relaxed geometry from Alexandria via LeMat-Bulk. Energies are from PBEsol.

Cell: 3.741 6.960 9.403 Å, 90.00 90.00 90.00°
Atoms (fractional coordinates):
As 0.250 0.105 0.958
As 0.750 0.395 0.458
As 0.250 0.605 0.542
As 0.750 0.895 0.042
Tb 0.750 0.796 0.341
Tb 0.250 0.204 0.659
Tb 0.750 0.296 0.159
Tb 0.250 0.704 0.841
S 0.750 0.410 0.841
S 0.250 0.090 0.341
S 0.750 0.910 0.659
S 0.250 0.590 0.159

Spin magnetization in μB/f.u.: 0.00
Uncorrected energy in eV/f.u.: -19.148
ρ in kg/m³: 7215
SG: Pnma
Formation energy without anion corrections in eV/f.u.: -4.65

Here is crystalline MgAg at its relaxed geometry from Alexandria via LeMat-Bulk. Energies are from PBEsol.

Cell: 3.418 3.418 6.264 Å, 90.00 90.00 90.00°
Atoms (fractional coordinates):
Mg 0.500 0.000 0.654
Mg 0.000 0.500 0.346
Ag 0.500 0.000 0.124
Ag 0.000 0.500 0.876

Spin magnetization in μB/f.u.: 0.00
Uncorrected energy in eV/f.u.: -5.331
ρ in kg/m³: 5998
SG: P4/nmm
ΔE_f in kJ/mol of atoms: -15

Here is crystalline ZnCrPb2Br at its relaxed geometry from Alexandria via LeMat-Bulk. Energies are from PBEsol.

Cell: 4.641 5.735 5.735 Å, 90.00 90.00 90.00°
Last column: magnetic moment on the atom in μB.
Atoms (fractional coordinates):
Pb 0.000 0.000 0.500  -0.06
Pb 0.000 0.500 0.000  -0.06
Cr 0.500 0.000 0.000  3.78
Zn 0.500 0.500 0.500  0.01
Br 0.000 0.000 0.000  0.00

Spin magnetization in μB/f.u.: 3.94
Uncorrected energy in eV/f.u.: -17.164
ρ in kg/m³: 6655
SG: P4/mmm
Formation energy without anion corrections in eV/f.u.: 4.53

Here is crystalline ZrScCo4 at its relaxed geometry from Alexandria via LeMat-Bulk. Energies are from PBEsol.

Cell: 4.780 4.780 4.780 Å, 60.00 60.00 60.00°
Atoms (fractional coordinates):
Sc 0.750 0.750 0.750
Co 0.375 0.375 0.375
Co 0.375 0.375 0.874
Co 0.874 0.375 0.375
Co 0.375 0.874 0.375
Zr 0.000 0.000 0.000

Spin magnetization in μB/f.u.: 0.00
Uncorrected energy in eV/f.u.: -48.902
ρ in kg/m³: 7995
SG: F-43m
ΔE_f in kJ/mol of atoms: -36

Here is crystalline BaLi3Mo at its relaxed geometry from Alexandria via LeMat-Bulk. Energies are from PBEsol.

Cell: 5.273 5.273 5.273 Å, 90.00 90.00 90.00°
Last column: magnetic moment on the atom in μB.
Atoms (fractional coordinates):
Mo 0.000 0.000 0.000  3.29
Ba 0.500 0.500 0.500  -0.02
Li 0.000 0.500 0.000  0.02
Li 0.000 0.000 0.500  0.02
Li 0.500 0.000 0.000  0.02

Spin magnetization in μB/f.u.: 4.14
Uncorrected energy in eV/f.u.: -15.009
ρ in kg/m³: 2877
SG: Pm-3m
ΔE_f in kJ/mol of atoms: 93

Here is crystalline AlCdFe2 at its relaxed geometry from Alexandria via LeMat-Bulk. Energies are from PBEsol.

Cell: 2.906 2.906 6.613 Å, 90.00 90.00 90.00°
Last column: magnetic moment on the atom in μB.
Atoms (fractional coordinates):
Al 0.000 0.000 0.446  -0.03
Fe 0.000 0.000 0.049  2.31
Fe 0.500 0.500 0.234  1.72
Cd 0.500 0.500 0.772  -0.04

Spin magnetization in μB/f.u.: 3.91
Uncorrected energy in eV/f.u.: -23.009
ρ in kg/m³: 7468
SG: P4mm
ΔE_f in kJ/mol of atoms: 5

Here is crystalline GaBi2P at its relaxed geometry from Alexandria via LeMat-Bulk. Energies are from PBEsol.

Cell: 5.070 5.070 5.070 Å, 60.00 60.00 60.00°
Atoms (fractional coordinates):
P 0.000 0.000 0.000
Bi 0.250 0.250 0.250
Bi 0.750 0.750 0.750
Ga 0.500 0.500 0.500

Spin magnetization in μB/f.u.: 0.00
Uncorrected energy in eV/f.u.: -16.599
ρ in kg/m³: 9348
SG: Fm-3m
ΔE_f in kJ/mol of atoms: 27

Here is crystalline LiS2O at its relaxed geometry from Alexandria via LeMat-Bulk. Energies are from PBEsol.

Cell: 2.888 2.888 7.808 Å, 79.34 79.34 60.00°
Atoms (fractional coordinates):
S 0.900 0.900 0.299
S 0.100 0.100 0.701
O 0.500 0.500 0.500
Li 0.000 0.000 0.000

Spin magnetization in μB/f.u.: 0.00
Uncorrected energy in eV/f.u.: -13.878
ρ in kg/m³: 2625
SG: R-3m
Formation energy without anion corrections in eV/f.u.: 2.11

Number 1: DOS at the Fermi energy 3.5 states/eV per cell. Number 2: DOS at the Fermi energy 0.0 states/eV per cell. Number 3: DOS at the Fermi energy 6.3 states/eV per cell. Number 4: DOS at the Fermi energy 1.8 states/eV per cell. Number 5: DOS at the Fermi energy 0.3 states/eV per cell. Number 6: DOS at the Fermi energy 1.3 states/eV per cell. Number 7: DOS at the Fermi energy 3.6 states/eV per cell. Number 8: DOS at the Fermi energy 5.3 states/eV per cell. Number 9: DOS at the Fermi energy 6.4 states/eV per cell. Number 10: DOS at the Fermi energy 3.6 states/eV per cell. Number 11: DOS at the Fermi energy 3.6 states/eV per cell. Number 12: DOS at the Fermi energy 2.1 states/eV per cell.